This record from Alexandria via LeMat-Bulk describes a relaxed DyMnFeO5 crystal. The functional is PBE+U.

Lattice parameters (Å, degrees): 5.800 7.336 8.626 90.00 90.00 90.00
Atoms (fractional coordinates):
Mn (0.749, 0.500, 0.000)
Mn (0.251, 0.000, 0.500)
Mn (0.749, 0.000, 0.500)
Mn (0.251, 0.500, 0.000)
Dy (0.500, 0.632, 0.669)
Dy (0.500, 0.368, 0.331)
Dy (0.500, 0.132, 0.831)
Dy (0.500, 0.868, 0.169)
O (0.500, 0.838, 0.442)
O (0.500, 0.338, 0.058)
O (0.740, 0.607, 0.205)
O (0.260, 0.107, 0.295)
O (0.260, 0.893, 0.705)
O (0.000, 0.151, 0.570)
O (0.766, 0.000, 0.000)
O (0.234, 0.000, 0.000)
O (0.500, 0.662, 0.942)
O (0.740, 0.393, 0.795)
O (0.740, 0.107, 0.295)
O (0.740, 0.893, 0.705)
O (0.260, 0.607, 0.205)
O (0.766, 0.500, 0.500)
O (0.000, 0.849, 0.430)
O (0.500, 0.162, 0.558)
O (0.000, 0.651, 0.930)
O (0.000, 0.349, 0.070)
O (0.234, 0.500, 0.500)
O (0.260, 0.393, 0.795)
Fe (0.000, 0.393, 0.647)
Fe (0.000, 0.107, 0.147)
Fe (0.000, 0.607, 0.353)
Fe (0.000, 0.893, 0.853)

As for the symmetry: Pbam (55). Its total energy is -7.471 eV/atom.